# CrMoRh2 (PBEsol, optimized geometry)
data_CrMoRh2
_cell_length_a 2.6658
_cell_length_b 3.7596
_cell_length_c 5.3202
_cell_angle_alpha 90.00
_cell_angle_beta 90.00
_cell_angle_gamma 90.00
_space_group_name_H-M_alt 'P m m m'
_space_group_IT_number 47
loop_
_space_group_symop_operation_xyz
'x,y,z'
'-x,-y,-z'
'-x,-y,z'
'x,y,-z'
'x,-y,-z'
'-x,y,z'
'-x,y,-z'
'x,-y,z'
loop_
_atom_site_label
_atom_site_type_symbol
_atom_site_fract_x
_atom_site_fract_y
_atom_site_fract_z
Cr1 Cr 0.0000 0.0000 0.0000
Mo1 Mo 0.0000 0.0000 0.5000
Rh1 Rh 0.5000 0.5000 0.2416
# * ΔE to the lowest computed polymorph: 16.2 meV per atom
# * total magnetization: 0.001 μB/f.u.
# * ΔE_f: -0.10 eV/atom
# * total DFT energy (no corrections): -9.675 eV per atom

# V4CuNiO12 (PBEsol, optimized geometry)
data_V4CuNiO12
_cell_length_a 9.6766
_cell_length_b 8.6505
_cell_length_c 5.8012
_cell_angle_alpha 90.00
_cell_angle_beta 109.49
_cell_angle_gamma 90.00
_space_group_name_H-M_alt 'C 1 2 1'
_space_group_IT_number 5
loop_
_space_group_symop_operation_xyz
'x,y,z'
'-x,y,-z'
'x+1/2,y+1/2,z'
'-x+1/2,y+1/2,-z'
loop_
_atom_site_label
_atom_site_type_symbol
_atom_site_fract_x
_atom_site_fract_y
_atom_site_fract_z
V1 V 0.1990 0.0000 0.4826
V2 V 0.2077 0.8157 0.9952
Cu1 Cu 0.0000 0.4900 0.0000
Ni1 Ni 0.0000 0.3311 0.5000
O1 O 0.1046 0.3299 0.8779
O2 O 0.1180 0.4972 0.4303
O3 O 0.1334 0.9218 0.1834
O4 O 0.1411 0.1810 0.4754
O5 O 0.1443 0.8886 0.6961
O6 O 0.1505 0.6345 0.9924
# * total magnetization: 2.799 μB/f.u.
# * total DFT energy (no corrections): -8.132 eV per atom
# * formation energy from raw total energies: -1909 meV/atom

# Ca2AlSi (PBEsol, optimized geometry)
data_Ca2AlSi
_cell_length_a 3.8837
_cell_length_b 4.8536
_cell_length_c 10.0305
_cell_angle_alpha 90.00
_cell_angle_beta 90.00
_cell_angle_gamma 90.00
_space_group_name_H-M_alt 'I m m 2'
_space_group_IT_number 44
loop_
_space_group_symop_operation_xyz
'x,y,z'
'-x,-y,z'
'-x,y,z'
'x,-y,z'
'x+1/2,y+1/2,z+1/2'
'-x+1/2,-y+1/2,z+1/2'
'-x+1/2,y+1/2,z+1/2'
'x+1/2,-y+1/2,z+1/2'
loop_
_atom_site_label
_atom_site_type_symbol
_atom_site_fract_x
_atom_site_fract_y
_atom_site_fract_z
Ca1 Ca 0.0000 0.0000 0.0000
Ca2 Ca 0.0000 0.5000 0.2136
Al1 Al 0.0000 0.5000 0.7888
Si1 Si 0.0000 0.0000 0.4443
# * total magnetization: 0.000 μB/f.u.
# * total DFT energy (no corrections): -3.817 eV per atom
# * formation energy from raw total energies: -291 meV/atom

# BTe2C (PBEsol, optimized geometry)
data_BTe2C
_cell_length_a 3.7783
_cell_length_b 3.7783
_cell_length_c 19.9552
_cell_angle_alpha 90.00
_cell_angle_beta 90.00
_cell_angle_gamma 120.00
_space_group_name_H-M_alt 'R -3 m'
_space_group_IT_number 166
_space_group_name_Hall '-R 3 2"'
loop_
_atom_site_label
_atom_site_type_symbol
_atom_site_fract_x
_atom_site_fract_y
_atom_site_fract_z
B1 B 0.0000 0.0000 0.0000
Te1 Te 0.0000 0.0000 0.4026
C1 C 0.0000 0.0000 0.5000
# * total magnetization: 0.000 μB/f.u.
# * total DFT energy (no corrections): -4.244 eV per atom
# * formation energy from raw total energies: 1684 meV/atom